The following is a DFT calculation (PBE-GGA) of KSrPbAu after structural relaxation.

Cell and atoms, written as CIF:
```
data_KSrPbAu
_space_group_name_H-M_alt 'F -4 3 m'
_space_group_IT_number 216
_space_group_name_Hall 'F -4 2 3'
_cell_length_a 7.700
_cell_length_b 7.700
_cell_length_c 7.700
_cell_angle_alpha 90.00
_cell_angle_beta 90.00
_cell_angle_gamma 90.00
loop_
_atom_site_label
_atom_site_type_symbol
_atom_site_fract_x
_atom_site_fract_y
_atom_site_fract_z
_atom_site_occupancy
K1 K 0.000 0.000 0.000 1
Sr1 Sr 0.250 0.250 0.750 1
Pb1 Pb 0.250 0.250 0.250 1
Au1 Au 0.000 0.000 0.500 1
```

Output
DFT formation energy, eV/atom: -0.28
Total DFT energy (no corrections), eV/atom: -2.72
DOS(E_F), states/eV per atom: 0.294
Spin magnetization, μB/atom: 0.000
Volume, Å³/atom: 28.5